The following is a SCAN calculation of a crystal of LiV2F7 relaxed with PBEsol, from the Alexandria database.

Values from the calculation:
Space-group type: No. 74
Total moment in Bohr magnetons per cell: 8.00
E_tot in eV per atom: -9.389
E_form (uncorrected) in kJ per mole of atoms: -306.3
ρ in Mg/m³: 3.0
Excess energy over the best structure of this formula in the dataset in meV per atom: 0

The structure in POSCAR format:
```
LiV2F7
1.0
6.977 0.000 0.000
3.489 6.397 0.041
3.489 2.219 6.000
F Li V
14 2 4
Direct
0.906 0.250 0.250
0.682 0.685 0.076
0.305 0.450 0.450
0.943 0.815 0.424
0.943 0.424 0.815
0.295 0.950 0.950
0.318 0.924 0.315
0.094 0.750 0.750
0.705 0.050 0.050
0.682 0.076 0.685
0.057 0.185 0.576
0.695 0.550 0.550
0.318 0.315 0.924
0.057 0.576 0.185
0.500 0.500 0.500
0.000 0.000 0.000
0.500 0.000 0.000
0.000 0.500 0.500
0.000 0.000 0.500
0.000 0.500 0.000
```